DFT (PBE) results for a geometry-optimized Zr3InO structure.

Cell and atoms, written as extended XYZ:
```
10
Lattice="-3.4667 3.4667 5.2128 3.4667 -3.4667 5.2128 3.4667 3.4667 -5.2128" Properties=species:S:1:pos:R:3 pbc="T T T"
Zr 4.3860 0.9194 0.0000
Zr 0.0000 0.0000 2.6064
Zr 0.9194 2.5473 0.0000
Zr 2.5473 0.9194 5.2128
Zr 0.0000 0.0000 7.8193
Zr -0.9194 2.5473 5.2128
In 0.0000 0.0000 0.0000
In 0.0000 0.0000 5.2128
O 3.4667 0.0000 2.6064
O 0.0000 3.4667 2.6064
```

As for the final energy: -5.853 eV per atom. The mass density comes out at 5.36 g/cm3.

***

DFT (PBE) results for a geometry-optimized Ac2CuSe4 structure.

Cell and atoms, written as extended XYZ:
```
14
Lattice="7.3319 0.0000 0.0000 0.0000 6.1263 0.0000 -2.6351 0.0000 8.4090" Properties=species:S:1:pos:R:3 pbc="T T T"
Ac 0.5324 1.5316 3.6063
Ac -0.7007 1.5316 7.8879
Ac 5.3975 4.5947 0.5212
Ac 4.1644 4.5947 4.8027
Cu 1.3243 4.5947 1.5892
Cu 3.3724 1.5316 6.8198
Se -0.4726 4.5947 3.2464
Se -1.7539 4.5947 7.6015
Se 1.6400 3.1169 6.2336
Se 1.6400 6.0725 6.2336
Se 3.0567 0.0538 2.1754
Se 3.0567 3.0094 2.1754
Se 6.4506 1.5316 0.8075
Se 5.1693 1.5316 5.1626
```

As for the final energy: -5.227 eV per atom. The mass density comes out at 7.33 g/cm3.

***

DFT (PBE) results for a geometry-optimized TbB4Pb structure.

Cell and atoms, written as extended XYZ:
```
6
Lattice="3.2535 0.0000 0.0000 -1.6267 2.8176 0.0000 0.0000 0.0000 8.5131" Properties=species:S:1:pos:R:3 pbc="T T T"
Tb 0.0000 0.0000 0.0000
B 0.0000 1.8784 1.9105
B 0.0000 1.8784 6.6026
B 1.6267 0.9392 1.9105
B 1.6267 0.9392 6.6026
Pb 0.0000 0.0000 4.2565
```

As for the final energy: -5.766 eV per atom. Its energy above the lowest structure with this stoichiometry is 0.020 eV/atom. The mass density comes out at 8.71 g/cm3.

***

DFT (PBE) results for a geometry-optimized SbIr7 structure.

Cell and atoms, written as extended XYZ:
```
16
Lattice="2.7771 0.0000 0.0000 0.0000 2.7771 0.0000 0.0000 0.0000 42.7297" Properties=species:S:1:pos:R:3 pbc="T T T"
Sb 0.6943 0.6943 6.8153
Sb 2.0828 2.0828 35.9145
Ir 0.6943 0.6943 10.8962
Ir 0.6943 0.6943 14.7171
Ir 0.6943 0.6943 18.5165
Ir 0.6943 0.6943 22.3138
Ir 0.6943 0.6943 26.1118
Ir 0.6943 0.6943 29.9283
Ir 0.6943 0.6943 33.7319
Ir 2.0828 2.0828 8.9979
Ir 2.0828 2.0828 12.8014
Ir 2.0828 2.0828 16.6180
Ir 2.0828 2.0828 20.4160
Ir 2.0828 2.0828 24.2132
Ir 2.0828 2.0828 28.0126
Ir 2.0828 2.0828 31.8336
```

As for the final energy: -8.132 eV per atom. The mass density comes out at 14.79 g/cm3.

***

DFT (PBE) results for a geometry-optimized PrMgAuSeS2 structure.

Cell and atoms, written as extended XYZ:
```
12
Lattice="1.9268 -6.5744 0.0000 1.9268 6.5744 0.0000 0.0000 0.0000 10.9379" Properties=species:S:1:pos:R:3 pbc="T T T"
Pr 0.0000 0.0000 0.0000
Pr 0.0000 0.0000 5.4690
Mg 1.9268 3.8035 8.2035
Mg 1.9268 -3.8035 2.7345
Au 1.9268 0.2304 2.7345
Au 1.9268 -0.2304 8.2035
Se 1.9268 4.9472 2.7345
Se 1.9268 -4.9472 8.2035
S 1.9268 1.9360 0.9057
S 1.9268 1.9360 4.5633
S 1.9268 -1.9360 6.3747
S 1.9268 -1.9360 10.0322
```

As for the final energy: -4.648 eV per atom. The mass density comes out at 6.06 g/cm3.

***

DFT (PBE) results for a geometry-optimized Gd2YCu4Sn2Ge2 structure.

Cell and atoms, written as extended XYZ:
```
11
Lattice="-2.1909 3.3573 7.2718 2.1909 -3.3573 7.2718 2.1909 3.3573 -7.2718" Properties=species:S:1:pos:R:3 pbc="T T T"
Gd 0.0000 0.0000 1.8269
Gd 0.0000 0.0000 12.7167
Y 0.0000 3.3573 0.0000
Cu 2.1909 2.0872 -2.3170
Cu 2.1909 2.0872 2.3170
Cu 0.0000 1.2701 4.9548
Cu 0.0000 1.2701 9.5888
Sn 2.1909 0.0000 4.1087
Sn 0.0000 3.3573 3.1631
Ge 2.1909 1.2825 0.0000
Ge 0.0000 2.0748 7.2718
```

As for the final energy: -4.958 eV per atom. Its energy above the lowest structure with this stoichiometry is 0.000 eV/atom. The mass density comes out at 8.07 g/cm3.

***

Which of these has the highest mass density?
SbIr7